Density functional theory data (PBE) for a relaxed structure of CdOs2Pt.

a b c (Å): 2.8100 3.8488 5.9433
angles (deg): 90.00 90.00 90.00
Positions (direct):
Os  0.0000  0.0000  0.0394
Os  0.5000  0.5000  0.2233
Pt  0.0000  0.0000  0.4930
Cd  0.5000  0.5000  0.7443

## Properties
For the volume, the calculation gives 16.07 A^3/atom. Its total magnetic moment is 0.0 μB/f.u. As for the space group: Pmm2 (25). The value obtained for the density of states at the Fermi level is 0.54 states/eV/atom. The total energy comes out at -0.2618 Ha/atom. For the formation energy, the calculation gives 0.23 eV/atom.

Density functional theory data (PBE) for a relaxed structure of CdOsPt2.

a b c (Å): 4.5277 4.5277 4.5277
angles (deg): 60.00 60.00 60.00
Last column: magnetic moment on the atom in μB.
Positions (direct):
Os  0.7500  0.7500  0.7500  1.26
Pt  0.0000  0.0000  0.0000  0.26
Pt  0.2500  0.2500  0.2500  0.15
Cd  0.5000  0.5000  0.5000  0.00

## Properties
For the volume, the calculation gives 16.41 A^3/atom. Its total magnetic moment is 1.7 μB/f.u. As for the space group: F-43m (216). The value obtained for the density of states at the Fermi level is 0.83 states/eV/atom. The total energy comes out at -0.2071 Ha/atom. For the formation energy, the calculation gives 0.42 eV/atom.

Density functional theory data (PBE) for a relaxed structure of CdOsPt.

a b c (Å): 6.5869 6.5869 6.5869
angles (deg): 155.37 155.37 35.10
Positions (direct):
Os  0.3233  0.3233  0.0000
Pt  0.6781  0.6781  0.0000
Cd  0.9986  0.9986  0.0000

## Properties
The value obtained for the relative energy among the computed polymorphs is 0 meV per atom. For the volume, the calculation gives 16.52 A^3/atom. Its total magnetic moment is 0.0 μB/f.u. As for the space group: I4mm (107). The value obtained for the density of states at the Fermi level is 0.68 states/eV/atom. The total energy comes out at -0.2143 Ha/atom. For the formation energy, the calculation gives 0.23 eV/atom.

Density functional theory data (PBE) for a relaxed structure of CdOs2Pt.

a b c (Å): 5.6863 5.6863 5.6863
angles (deg): 151.85 130.07 58.31
Positions (direct):
Os  0.9763  0.9763  0.0000
Os  0.7646  0.2646  0.5000
Pt  0.5163  0.5163  0.0000
Cd  0.2427  0.7427  0.5000

## Properties
For the volume, the calculation gives 16.48 A^3/atom. Its total magnetic moment is 0.0 μB/f.u. As for the space group: Imm2 (44). The value obtained for the density of states at the Fermi level is 0.85 states/eV/atom. The total energy comes out at -0.2517 Ha/atom. For the formation energy, the calculation gives 0.51 eV/atom.

Density functional theory data (PBE) for a relaxed structure of CdOsPt2.

a b c (Å): 4.6720 2.7836 4.9664
angles (deg): 90.01 90.00 90.00
Positions (direct):
Os  0.5000  0.6249  0.8212
Pt  0.0000  0.1251  0.9378
Pt  0.5000  0.1251  0.2935
Cd  0.0000  0.6249  0.4475

## Properties
For the volume, the calculation gives 16.15 A^3/atom. Its total magnetic moment is 0.0 μB/f.u. As for the space group: Pmm2 (25). The value obtained for the density of states at the Fermi level is 0.93 states/eV/atom. The total energy comes out at -0.2188 Ha/atom. For the formation energy, the calculation gives 0.10 eV/atom.

Density functional theory data (PBE) for a relaxed structure of Cd2OsPt.

a b c (Å): 2.8589 2.8589 9.9809
angles (deg): 90.00 90.00 119.94
Positions (direct):
Os  0.0000  0.0000  0.5118
Pt  0.5000  0.5000  0.7381
Cd  0.0000  0.0000  0.9849
Cd  0.5000  0.5000  0.2652

## Properties
For the volume, the calculation gives 17.67 A^3/atom. Its total magnetic moment is 0.0 μB/f.u. As for the space group: Cmm2 (35). The value obtained for the density of states at the Fermi level is 0.75 states/eV/atom. The total energy comes out at -0.1625 Ha/atom. For the formation energy, the calculation gives 0.35 eV/atom.

Density functional theory data (PBE) for a relaxed structure of CdOs2Pt.

a b c (Å): 3.1508 3.1508 6.5751
angles (deg): 90.00 90.00 90.00
Positions (direct):
Os  0.0000  0.0000  0.0313
Os  0.0000  0.0000  0.4687
Pt  0.5000  0.5000  0.2500
Cd  0.5000  0.5000  0.7500

## Properties
For the volume, the calculation gives 16.32 A^3/atom. Its total magnetic moment is 0.0 μB/f.u. As for the space group: P4/mmm (123). The value obtained for the density of states at the Fermi level is 1.06 states/eV/atom. The total energy comes out at -0.2442 Ha/atom. For the formation energy, the calculation gives 0.71 eV/atom.

Density functional theory data (PBE) for a relaxed structure of Cd2OsPt.

a b c (Å): 2.8475 4.9891 4.8680
angles (deg): 90.00 90.00 90.00
Positions (direct):
Os  0.5000  0.0000  0.5000
Pt  0.0000  0.5000  0.5000
Cd  0.0000  0.0000  0.0000
Cd  0.5000  0.5000  0.0000

## Properties
For the volume, the calculation gives 17.29 A^3/atom. Its total magnetic moment is 0.0 μB/f.u. As for the space group: Pmmm (47). The value obtained for the density of states at the Fermi level is 0.78 states/eV/atom. The total energy comes out at -0.1619 Ha/atom. For the formation energy, the calculation gives 0.37 eV/atom.

Density functional theory data (PBE) for a relaxed structure of CdOsPt2.

a b c (Å): 3.9630 3.9630 9.5373
angles (deg): 78.01 78.01 90.00
Last column: magnetic moment on the atom in μB.
Positions (direct):
Os  0.0000  0.0000  0.0000  0.42
Os  0.7500  0.2500  0.5000  0.42
Pt  0.6431  0.1250  0.2500  0.02
Pt  0.1069  0.6250  0.2500  0.02
Pt  0.3750  0.3569  0.7500  0.03
Pt  0.8750  0.8931  0.7500  0.03
Cd  0.5000  0.5000  0.0000  0.00
Cd  0.2500  0.7500  0.5000  -0.01

## Properties
For the volume, the calculation gives 17.90 A^3/atom. Its total magnetic moment is 0.5 μB/f.u. As for the space group: I-42d (122). The value obtained for the density of states at the Fermi level is 1.16 states/eV/atom. The total energy comes out at -0.1999 Ha/atom. For the formation energy, the calculation gives 0.62 eV/atom.

Density functional theory data (PBE) for a relaxed structure of CdOsPt2.

a b c (Å): 9.4377 9.4377 9.4377
angles (deg): 17.22 17.22 17.22
Positions (direct):
Os  0.7500  0.7500  0.7500
Pt  0.0043  0.0043  0.0043
Pt  0.4957  0.4957  0.4957
Cd  0.2500  0.2500  0.2500

## Properties
For the volume, the calculation gives 16.06 A^3/atom. Its total magnetic moment is 0.0 μB/f.u. As for the space group: R-3m (166). The value obtained for the density of states at the Fermi level is 0.76 states/eV/atom. The total energy comes out at -0.2214 Ha/atom. For the formation energy, the calculation gives 0.03 eV/atom.

Density functional theory data (PBE) for a relaxed structure of CdOsPt2.

a b c (Å): 2.7832 2.7832 9.7602
angles (deg): 90.00 90.00 119.72
Positions (direct):
Os  0.5000  0.5000  0.7595
Pt  0.0000  0.0000  0.9947
Pt  0.5000  0.5000  0.2448
Cd  0.0000  0.0000  0.5010

## Properties
For the volume, the calculation gives 16.42 A^3/atom. Its total magnetic moment is 0.0 μB/f.u. As for the space group: Cmm2 (35). The value obtained for the density of states at the Fermi level is 1.06 states/eV/atom. The total energy comes out at -0.2117 Ha/atom. For the formation energy, the calculation gives 0.29 eV/atom.

Density functional theory data (PBE) for a relaxed structure of CdOs2Pt.

a b c (Å): 2.8167 2.8167 8.0766
angles (deg): 90.00 90.00 90.00
Positions (direct):
Os  0.0000  0.0000  0.0291
Os  0.5000  0.5000  0.2348
Pt  0.0000  0.0000  0.4824
Cd  0.5000  0.5000  0.7536

## Properties
For the volume, the calculation gives 16.02 A^3/atom. Its total magnetic moment is 0.0 μB/f.u. As for the space group: P4mm (99). The value obtained for the density of states at the Fermi level is 0.62 states/eV/atom. The total energy comes out at -0.2664 Ha/atom. For the formation energy, the calculation gives 0.11 eV/atom.